## FeRu2Au (SCAN)

Data for a PBEsol-optimized structure of FeRu2Au.

Geometry as POSCAR:
```
FeRu2Au
1.0
-2.190 -2.536 -1.741
2.850 -2.477 0.024
-1.503 1.190 4.252
Ru Au Fe
2 1 1
Direct
0.750 0.250 0.500
0.000 0.000 0.000
0.500 0.500 0.000
0.250 0.750 0.500
```

Output
Calculated total energy: -39.048 eV/atom
E above lowest polymorph: 0.00 kcal/mol of atoms
Calculated density: 13856 kg/m3
Formation energy: 0.186 eV/atom

## ZrTc2Br (SCAN)

Data for a PBEsol-optimized structure of ZrTc2Br.

Geometry as POSCAR:
```
ZrTc2Br
1.0
3.157 0.000 0.000
0.000 4.205 0.000
0.000 0.000 5.483
Zr Tc Br
1 2 1
Direct
0.500 0.500 0.000
0.000 0.000 0.798
0.000 0.000 0.202
0.500 0.500 0.500
```

Output
Calculated total energy: -29.781 eV/atom
E above lowest polymorph: 0.00 kcal/mol of atoms
Calculated density: 8376 kg/m3
Formation energy (no corrections): 288.1 meV per atom

## TiMo3Au (SCAN)

Data for a PBEsol-optimized structure of TiMo3Au.

Geometry as POSCAR:
```
TiMo3Au
1.0
-2.056 2.728 -3.297
-3.985 0.113 2.578
1.560 3.884 2.241
Mo Au Ti
3 1 1
Direct
0.000 0.000 0.500
0.500 0.000 0.000
0.000 0.500 0.000
0.000 0.000 0.000
0.500 0.500 0.500
```

Output
Calculated total energy: -35.860 eV/atom
E above lowest polymorph: 14.88 kcal/mol of atoms
Calculated density: 8263 kg/m3
Formation energy: 2.109 eV/atom

## LiLa3Ti (SCAN)

Data for a PBEsol-optimized structure of LiLa3Ti.

Geometry as POSCAR:
```
LiLa3Ti
1.0
5.273 0.000 0.000
0.000 5.273 0.000
0.000 0.000 5.273
Ti La Li
1 3 1
Direct
0.500 0.500 0.500
0.500 0.000 0.000
0.000 0.500 0.000
0.000 0.000 0.500
0.000 0.000 0.000
```

Output
Calculated total energy: -28.823 eV/atom
Calculated density: 5339 kg/m3
Formation energy: 0.723 eV/atom

## Bi3WS (SCAN)

Data for a PBEsol-optimized structure of Bi3WS.

Geometry as POSCAR:
```
Bi3WS
1.0
-3.523 -3.791 0.339
2.184 -1.635 4.411
-3.118 3.139 2.707
Bi S W
3 1 1
Direct
0.000 0.000 0.500
0.500 0.000 0.000
0.000 0.500 0.000
0.000 0.000 0.000
0.500 0.500 0.500
```

Output
Calculated total energy: -61.489 eV/atom
Calculated density: 10029 kg/m3
Formation energy (no corrections): 1521.6 meV per atom

## TlCr5Te8 (SCAN)

Data for a PBEsol-optimized structure of TlCr5Te8.

Geometry as POSCAR:
```
TlCr5Te8
1.0
3.891 0.000 0.000
0.000 9.294 0.025
-1.945 -2.431 9.660
Cr Tl Te
5 1 8
Direct
0.500 0.500 0.001
0.795 0.170 0.591
0.155 0.484 0.310
0.204 0.831 0.408
0.843 0.515 0.685
0.988 0.000 0.976
0.668 0.996 0.336
0.929 0.330 0.857
0.071 0.673 0.141
0.585 0.317 0.171
0.413 0.681 0.827
0.260 0.343 0.519
0.738 0.656 0.477
0.332 0.005 0.664
```

Output
Calculated total energy: -33.480 eV/atom
Calculated density: 7055 kg/m3
Formation energy (no corrections): -459.0 meV per atom

## ZrSc2In (SCAN)

Data for a PBEsol-optimized structure of ZrSc2In.

Geometry as POSCAR:
```
ZrSc2In
1.0
3.268 0.000 0.000
0.000 3.268 0.000
0.000 0.000 8.289
In Zr Sc
1 1 2
Direct
0.500 0.500 0.500
0.500 0.500 0.000
0.000 0.000 0.256
0.000 0.000 0.744
```

Output
Calculated total energy: -23.462 eV/atom
Calculated density: 5551 kg/m3
Formation energy: -0.322 eV/atom

## TaAlB2P (SCAN)

Data for a PBEsol-optimized structure of TaAlB2P.

Geometry as POSCAR:
```
TaAlB2P
1.0
3.844 0.000 0.000
0.000 3.844 0.000
0.000 0.000 4.793
Al Ta P B
1 1 1 2
Direct
0.500 0.500 0.500
0.000 0.000 0.500
0.000 0.000 0.000
0.000 0.500 0.000
0.500 0.000 0.000
```

Output
Calculated total energy: -18.746 eV/atom
Calculated density: 6109 kg/m3
Formation energy: 1.173 eV/atom

## TePb (SCAN)

Data for a PBEsol-optimized structure of TePb.

Geometry as POSCAR:
```
TePb
1.0
5.462 0.000 0.000
2.731 4.730 0.000
2.731 1.577 4.466
Pb Te
2 2
Direct
0.875 0.875 0.375
0.125 0.125 0.625
0.625 0.625 0.125
0.375 0.375 0.875
```

Output
Calculated total energy: -56.391 eV/atom
Calculated density: 9637 kg/m3
Formation energy (no corrections): 125.6 meV per atom

## Sr2Pt (SCAN)

Data for a PBEsol-optimized structure of Sr2Pt.

Geometry as POSCAR:
```
Sr2Pt
1.0
7.377 0.000 0.000
0.000 7.377 0.000
0.000 0.000 7.377
Sr Pt
8 4
Direct
0.833 0.167 0.667
0.333 0.333 0.333
0.167 0.667 0.833
0.167 0.833 0.333
0.667 0.833 0.167
0.667 0.667 0.667
0.333 0.167 0.833
0.833 0.333 0.167
0.500 0.500 0.000
0.000 0.500 0.500
0.500 0.000 0.500
0.000 0.000 0.000
```

Output
Calculated total energy: -39.005 eV/atom
Calculated density: 6126 kg/m3
Formation energy: -0.757 eV/atom

## Hg2BC (SCAN)

Data for a PBEsol-optimized structure of Hg2BC.

Geometry as POSCAR:
```
Hg2BC
1.0
4.338 0.000 0.000
2.169 3.757 0.000
2.169 1.252 3.542
Hg B C
2 1 1
Direct
0.250 0.250 0.250
0.750 0.750 0.750
0.000 0.000 0.000
0.500 0.500 0.500
```

Output
Calculated total energy: -36.238 eV/atom
Calculated density: 12195 kg/m3
Formation energy: 2.227 eV/atom

## Tl3PtCl (SCAN)

Data for a PBEsol-optimized structure of Tl3PtCl.

Geometry as POSCAR:
```
Tl3PtCl
1.0
-2.653 1.825 -4.144
-3.355 -4.017 0.379
-3.040 2.841 3.197
Pt Tl Cl
1 3 1
Direct
0.000 0.000 0.000
0.500 0.000 0.000
0.000 0.500 0.000
0.000 0.000 0.500
0.500 0.500 0.500
```

Output
Calculated total energy: -59.595 eV/atom
Calculated density: 9695 kg/m3
Formation energy (no corrections): -545.7 meV per atom

> Among the records above, which one has the lowest calculated density?

LiLa3Ti